## a
The following is a DFT calculation (GGA-PBE) of Y2NbCl after structural relaxation.

Cell lengths 8.3588, 8.3588, 8.3588 Å; angles 138.81, 138.81, 59.66 degrees
With the nearest neighbours (Å) after each atom.
Sites, in units of the cell vectors:
1 Y 0.1152 0.6250 0.9902  2 Cl 2.73, 2 Nb 2.79
2 Y 0.3750 0.3652 0.4902  2 Cl 2.73, 2 Nb 2.79
3 Y 0.6348 0.1250 0.0098  2 Cl 2.73, 2 Nb 2.79
4 Y 0.8750 0.8848 0.5098  2 Cl 2.73, 2 Nb 2.79
5 Nb 0.2500 0.7500 0.5000  4 Y 2.79
6 Nb 0.5000 0.5000 0.0000  4 Y 2.79
7 Cl 0.0000 0.0000 0.0000  4 Y 2.73
8 Cl 0.7500 0.2500 0.5000  4 Y 2.73

## Properties
- spin magnetization (μB per atom) = 0.480
- symmetry = I-42d (122)
- N(E_F) (states/eV/cell) = 9.9

## b
The following is a DFT calculation (GGA-PBE) of Y2NbCl after structural relaxation.

Cell lengths 5.1840, 5.1840, 5.1840 Å; angles 60.00, 60.00, 60.00 degrees
With the nearest neighbours (Å) after each atom.
Sites, in units of the cell vectors:
1 Y 0.2500 0.2500 0.2500  4 Nb 3.17, 4 Cl 3.17
2 Y 0.7500 0.7500 0.7500  4 Cl 3.17, 4 Nb 3.17
3 Nb 0.0000 0.0000 0.0000  8 Y 3.17
4 Cl 0.5000 0.5000 0.5000  8 Y 3.17

## Properties
- spin magnetization (μB per atom) = 0.203
- symmetry = Fm-3m (225)
- N(E_F) (states/eV/cell) = 8.8

Here are the energies relative to the best structure, in kJ/mol of atoms: a 23.1; b 0.0.

## a
The following is a DFT calculation (GGA-PBE) of NbZn3Cl after structural relaxation.

Cell lengths 4.7100, 4.7100, 4.7100 Å; angles 90.00, 90.00, 90.00 degrees
With the nearest neighbours (Å) after each atom.
Sites, in units of the cell vectors:
1 Nb 0.0000 0.0000 0.0000  12 Zn 3.33
2 Zn 0.0000 0.5000 0.5000  2 Cl 2.36
3 Zn 0.5000 0.0000 0.5000  2 Cl 2.36
4 Zn 0.5000 0.5000 0.0000  2 Cl 2.36
5 Cl 0.5000 0.5000 0.5000  6 Zn 2.36

## Properties
- spin magnetization (μB per atom) = 0.410
- symmetry = Pm-3m (221)
- N(E_F) (states/eV/cell) = 2.1

## b
The following is a DFT calculation (GGA-PBE) of NbZn3Cl after structural relaxation.

Cell lengths 5.3176, 5.3176, 5.3176 Å; angles 90.00, 90.00, 90.00 degrees
With the nearest neighbours (Å) after each atom.
Sites, in units of the cell vectors:
1 Nb 0.0000 0.0000 0.0000  6 Zn 2.66
2 Zn 0.0000 0.0000 0.5000  2 Nb 2.66
3 Zn 0.0000 0.5000 0.0000  2 Nb 2.66
4 Zn 0.5000 0.0000 0.0000  2 Nb 2.66
5 Cl 0.5000 0.5000 0.5000  12 Zn 3.76

## Properties
- spin magnetization (μB per atom) = 0.785
- symmetry = Pm-3m (221)
- N(E_F) (states/eV/cell) = 3.6

Here are the energies relative to the best structure, in kJ/mol of atoms: a 15.9; b 0.0.

## a
The following is a DFT calculation (GGA-PBE) of Nb2ZnCl after structural relaxation.

Cell lengths 4.5310, 4.5310, 4.5310 Å; angles 60.00, 60.00, 60.00 degrees
With the nearest neighbours (Å) after each atom.
Sites, in units of the cell vectors:
1 Nb 0.2500 0.2500 0.2500  4 Cl 2.77, 4 Zn 2.77
2 Nb 0.7500 0.7500 0.7500  4 Zn 2.77, 4 Cl 2.77
3 Zn 0.0000 0.0000 0.0000  8 Nb 2.77
4 Cl 0.5000 0.5000 0.5000  8 Nb 2.77

## Properties
- spin magnetization (μB per atom) = 0.000
- symmetry = Fm-3m (225)
- N(E_F) (states/eV/cell) = 7.2

## b
The following is a DFT calculation (GGA-PBE) of Nb2ZnCl after structural relaxation.

Cell lengths 10.0618, 10.0618, 10.0618 Å; angles 157.44, 157.44, 32.12 degrees
With the nearest neighbours (Å) after each atom.
Sites, in units of the cell vectors:
1 Nb 0.1186 0.6250 0.9936  4 Nb 2.75-2.82, 2 Zn 2.78, 2 Cl 2.80
2 Nb 0.3750 0.3686 0.4936  4 Nb 2.75-2.82, 2 Zn 2.78, 2 Cl 2.80
3 Nb 0.6314 0.1250 0.0064  4 Nb 2.75-2.82, 2 Zn 2.78, 2 Cl 2.80
4 Nb 0.8750 0.8814 0.5064  4 Nb 2.75-2.82, 2 Zn 2.78, 2 Cl 2.80
5 Zn 0.0000 0.0000 0.0000  4 Nb 2.78, 4 Cl 2.78
6 Zn 0.7500 0.2500 0.5000  4 Nb 2.78, 4 Cl 2.78
7 Cl 0.2500 0.7500 0.5000  4 Zn 2.78, 4 Nb 2.80
8 Cl 0.5000 0.5000 0.0000  4 Zn 2.78, 4 Nb 2.80

## Properties
- spin magnetization (μB per atom) = 0.000
- symmetry = I-42d (122)
- N(E_F) (states/eV/cell) = 5.2

Here are the energies relative to the best structure, in kJ/mol of atoms: a 0.0; b 2.8.